[1]
A geometry-optimized ZnGeO3 structure, computed with GGA-PBE.

## Properties
Uncorrected energy: -5.622 eV per atom
Symmetry: R3c (161)

Geometry as POSCAR:
```
ZnGeO3
1.0
2.5302 1.4608 4.3783
-2.5302 1.4608 4.3783
0.0000 -2.9216 4.3783
Zn Ge O
2 2 6
Cartesian
0.0000 0.0000 0.0000 Zn
0.0000 0.0000 6.5674 Zn
0.0000 0.0000 2.9389 Ge
0.0000 0.0000 9.5064 Ge
-1.9288 0.0543 6.0782 O
-0.6013 -1.4065 8.2673 O
0.9174 -1.6976 6.0782 O
-0.9174 1.2240 8.2673 O
1.0114 1.6433 6.0782 O
1.5187 0.1825 8.2673 O
```



[2]
A geometry-optimized HfInHg2Br6 structure, computed with GGA-PBE.

## Properties
Uncorrected energy: -3.095 eV per atom
Symmetry: Fm-3m (225)

Geometry as POSCAR:
```
HfInHg2Br6
1.0
0.0000 5.6048 5.6048
5.6048 0.0000 5.6048
5.6048 5.6048 0.0000
Hf In Hg Br
1 1 2 6
Cartesian
0.0000 0.0000 0.0000 Hf
5.6048 5.6048 5.6048 In
2.8024 2.8024 2.8024 Hg
8.4073 8.4073 8.4073 Hg
5.6048 5.6048 2.6066 Br
5.6048 2.6066 5.6048 Br
8.6031 5.6048 5.6048 Br
2.6066 5.6048 5.6048 Br
5.6048 8.6031 5.6048 Br
5.6048 5.6048 8.6031 Br
```



[3]
A geometry-optimized ErTmGa2 structure, computed with GGA-PBE.

## Properties
Uncorrected energy: -4.400 eV per atom
Symmetry: Amm2 (38)

Geometry as POSCAR:
```
ErTmGa2
1.0
4.0131 0.0000 0.0000
0.0000 4.2858 0.0000
0.0000 0.0000 10.7374
Er Tm Ga
2 2 4
Cartesian
0.0000 0.0000 0.0000 Er
0.0000 2.1429 5.3687 Er
2.0065 0.0000 2.9916 Tm
2.0065 2.1429 8.3603 Tm
0.0000 0.0000 7.6969 Ga
0.0000 2.1429 2.3282 Ga
2.0065 0.0000 6.0349 Ga
2.0065 2.1429 0.6662 Ga
```



[4]
A geometry-optimized Nb3ReNi structure, computed with GGA-PBE.

## Properties
Uncorrected energy: -9.249 eV per atom
Symmetry: Ama2 (40)

Geometry as POSCAR:
```
Nb3ReNi
1.0
5.2761 0.0000 0.0000
0.0000 3.0798 5.3502
0.0000 -3.0798 5.3502
Nb Re Ni
6 2 2
Cartesian
1.3190 -2.3168 5.3502 Nb
1.3190 0.8949 2.8855 Nb
1.3190 1.4194 6.9088 Nb
3.9571 -0.8949 2.8855 Nb
3.9571 -1.4194 6.9088 Nb
3.9571 2.3168 5.3502 Nb
0.0000 0.0000 5.0486 Re
2.6381 0.0000 5.0486 Re
0.0000 0.0000 8.6158 Ni
2.6381 0.0000 8.6158 Ni
```



[5]
A geometry-optimized TbEr structure, computed with GGA-PBE.

## Properties
Uncorrected energy: -3.805 eV per atom
Symmetry: Fm-3m (225)

Geometry as POSCAR:
```
TbEr
1.0
6.4361 0.0000 0.0000
0.0000 6.4361 0.0000
0.0000 0.0000 6.4361
Tb Er
4 4
Cartesian
0.0000 0.0000 0.0000 Tb
0.0000 3.2181 3.2181 Tb
3.2181 0.0000 3.2181 Tb
3.2181 3.2181 0.0000 Tb
0.0000 0.0000 3.2181 Er
0.0000 3.2181 0.0000 Er
3.2181 0.0000 0.0000 Er
3.2181 3.2181 3.2181 Er
```



[6]
A geometry-optimized NaPaBi structure, computed with GGA-PBE.

## Properties
Uncorrected energy: -4.289 eV per atom
Symmetry: F-43m (216)

Geometry as POSCAR:
```
NaPaBi
1.0
7.4775 0.0000 0.0000
0.0000 7.4775 0.0000
0.0000 0.0000 7.4775
Na Pa Bi
4 4 4
Cartesian
0.0000 0.0000 0.0000 Na
0.0000 3.7387 3.7387 Na
3.7387 0.0000 3.7387 Na
3.7387 3.7387 0.0000 Na
1.8694 1.8694 5.6081 Pa
1.8694 5.6081 1.8694 Pa
5.6081 1.8694 1.8694 Pa
5.6081 5.6081 5.6081 Pa
0.0000 0.0000 3.7387 Bi
0.0000 3.7387 0.0000 Bi
3.7387 0.0000 0.0000 Bi
3.7387 3.7387 3.7387 Bi
```



Q: Which formula does entry 2 have?
A: HfInHg2Br6



Please write out number 2 again, unchanged.
A geometry-optimized HfInHg2Br6 structure, computed with GGA-PBE.

## Properties
Uncorrected energy: -3.095 eV per atom
Symmetry: Fm-3m (225)

Geometry as POSCAR:
```
HfInHg2Br6
1.0
0.0000 5.6048 5.6048
5.6048 0.0000 5.6048
5.6048 5.6048 0.0000
Hf In Hg Br
1 1 2 6
Cartesian
0.0000 0.0000 0.0000 Hf
5.6048 5.6048 5.6048 In
2.8024 2.8024 2.8024 Hg
8.4073 8.4073 8.4073 Hg
5.6048 5.6048 2.6066 Br
5.6048 2.6066 5.6048 Br
8.6031 5.6048 5.6048 Br
2.6066 5.6048 5.6048 Br
5.6048 8.6031 5.6048 Br
5.6048 5.6048 8.6031 Br
```